# La3Sm2Dy (PBE, optimized geometry)
# **Energy of formation from the pure elements**: 0.1 eV/f.u.
# **Total magnetization**: 0.00 μB/f.u.
# **Energy above the lowest structure with this stoichiometry**: 0.00 eV/f.u.
data_La3Sm2Dy
_cell_length_a 10.378
_cell_length_b 3.675
_cell_length_c 11.014
_cell_angle_alpha 90.00
_cell_angle_beta 90.37
_cell_angle_gamma 90.00
_symmetry_space_group_name_H-M 'P 1 21/m 1'
_symmetry_Int_Tables_number 11
loop_
_symmetry_equiv_pos_as_xyz
'x,y,z'
'-x,-y,-z'
'-x,y+1/2,-z'
'x,-y+1/2,z'
loop_
_atom_site_label
_atom_site_type_symbol
_atom_site_fract_x
_atom_site_fract_y
_atom_site_fract_z
La1 La 0.123 0.250 0.416
La2 La 0.372 0.750 0.914
La3 La 0.375 0.750 0.251
Sm1 Sm 0.121 0.250 0.083
Sm2 Sm 0.373 0.750 0.584
Dy1 Dy 0.124 0.250 0.750

---

# PaFeNi2H8 (PBE, optimized geometry)
# **Total magnetization**: 0.00 μB/f.u.
# **Raw total energy**: -4.689 eV/atom
data_PaFeNi2H8
_cell_length_a 4.7230
_cell_length_b 4.7230
_cell_length_c 5.2592
_cell_angle_alpha 90.00
_cell_angle_beta 90.00
_cell_angle_gamma 120.00
_symmetry_space_group_name_H-M 'P -3 m 1'
_symmetry_Int_Tables_number 164
_symmetry_space_group_name_Hall '-P 3 2"'
loop_
_atom_site_label
_atom_site_type_symbol
_atom_site_fract_x
_atom_site_fract_y
_atom_site_fract_z
Pa1 Pa 0.0000 0.0000 0.0000
Fe1 Fe 0.0000 0.0000 0.5000
Ni1 Ni 0.3333 0.6667 0.1692
H1 H 0.1755 0.3511 0.3614
H2 H 0.3333 0.6667 0.8795

---

# K2LaIrO6 (PBE, optimized geometry)
# **Total magnetization**: 0.98 μB/f.u.
# **Raw total energy**: -6.252 eV/atom
data_K2LaIrO6
_cell_length_a 6.070
_cell_length_b 8.586
_cell_length_c 6.070
_cell_angle_alpha 90.00
_cell_angle_beta 90.00
_cell_angle_gamma 90.00
_symmetry_space_group_name_H-M 'P m m n'
_symmetry_Int_Tables_number 59
loop_
_symmetry_equiv_pos_as_xyz
'x,y,z'
'-x,-y,-z'
'-x+1/2,-y+1/2,z'
'x+1/2,y+1/2,-z'
'x+1/2,-y,-z'
'-x+1/2,y,z'
'-x,y+1/2,-z'
'x,-y+1/2,z'
loop_
_atom_site_label
_atom_site_type_symbol
_atom_site_fract_x
_atom_site_fract_y
_atom_site_fract_z
K1 K 0.250 0.000 0.250
La1 La 0.250 0.250 0.749
Ir1 Ir 0.250 0.750 0.751
O1 O 0.026 0.750 0.527
O2 O 0.027 0.750 0.974
O3 O 0.250 0.527 0.751

---

# LaInPtSe2 (PBE, optimized geometry)
# **Total magnetization**: 0.18 μB/f.u.
# **Raw total energy**: -3.763 eV/atom
data_LaInPtSe2
_cell_length_a 5.009
_cell_length_b 5.009
_cell_length_c 6.378
_cell_angle_alpha 90.00
_cell_angle_beta 90.00
_cell_angle_gamma 90.00
_symmetry_space_group_name_H-M 'P 4/m m m'
_symmetry_Int_Tables_number 123
_symmetry_space_group_name_Hall '-P 4 2'
loop_
_atom_site_label
_atom_site_type_symbol
_atom_site_fract_x
_atom_site_fract_y
_atom_site_fract_z
La1 La 0.000 0.000 0.000
In1 In 0.000 0.000 0.500
Pt1 Pt 0.500 0.500 0.000
Se1 Se 0.000 0.500 0.500

---

# NbPt3O (PBE, optimized geometry)
# **Total magnetization**: 0.85 μB/f.u.
# **Energy above the lowest structure with this stoichiometry**: 0.00 eV/f.u.
data_NbPt3O
_cell_length_a 4.279
_cell_length_b 4.279
_cell_length_c 4.279
_cell_angle_alpha 90.00
_cell_angle_beta 90.00
_cell_angle_gamma 90.00
_symmetry_space_group_name_H-M 'P m -3 m'
_symmetry_Int_Tables_number 221
_symmetry_space_group_name_Hall '-P 4 2 3'
loop_
_atom_site_label
_atom_site_type_symbol
_atom_site_fract_x
_atom_site_fract_y
_atom_site_fract_z
Nb1 Nb 0.000 0.000 0.000
Pt1 Pt 0.000 0.500 0.500
O1 O 0.500 0.500 0.500

---

# Na2IrPbO6 (PBE, optimized geometry)
# **Total magnetization**: 1.37 μB/f.u.
# **Raw total energy**: -5.388 eV/atom
data_Na2IrPbO6
_cell_length_a 5.847
_cell_length_b 5.847
_cell_length_c 4.460
_cell_angle_alpha 90.00
_cell_angle_beta 90.00
_cell_angle_gamma 90.00
_symmetry_space_group_name_H-M 'P 4 m m'
_symmetry_Int_Tables_number 99
loop_
_symmetry_equiv_pos_as_xyz
'x,y,z'
'-y,x,z'
'-x,-y,z'
'y,-x,z'
'-x,y,z'
'y,x,z'
'x,-y,z'
'-y,-x,z'
loop_
_atom_site_label
_atom_site_type_symbol
_atom_site_fract_x
_atom_site_fract_y
_atom_site_fract_z
Na1 Na 0.000 0.500 0.000
Ir1 Ir 0.000 0.000 0.595
Pb1 Pb 0.500 0.500 0.607
O1 O 0.000 0.000 0.197
O2 O 0.221 0.221 0.702
O3 O 0.500 0.500 0.121

---

# Ti3MoRu (PBE, optimized geometry)
# **Energy of formation from the pure elements**: 3.8 eV/f.u.
# **Total magnetization**: 0.00 μB/f.u.
# **Energy above the lowest structure with this stoichiometry**: 5.48 eV/f.u.
data_Ti3MoRu
_cell_length_a 4.600
_cell_length_b 4.600
_cell_length_c 4.600
_cell_angle_alpha 90.00
_cell_angle_beta 90.00
_cell_angle_gamma 90.00
_symmetry_space_group_name_H-M 'P m -3 m'
_symmetry_Int_Tables_number 221
_symmetry_space_group_name_Hall '-P 4 2 3'
loop_
_atom_site_label
_atom_site_type_symbol
_atom_site_fract_x
_atom_site_fract_y
_atom_site_fract_z
Ti1 Ti 0.000 0.000 0.500
Mo1 Mo 0.500 0.500 0.500
Ru1 Ru 0.000 0.000 0.000

---

# Ba3Ac5 (PBE, optimized geometry)
# **Energy of formation from the pure elements**: 0.4 eV/f.u.
# **Total magnetization**: 0.00 μB/f.u.
data_Ba3Ac5
_cell_length_a 7.129
_cell_length_b 4.120
_cell_length_c 27.268
_cell_angle_alpha 90.00
_cell_angle_beta 94.70
_cell_angle_gamma 90.00
_symmetry_space_group_name_H-M 'C 1 2/m 1'
_symmetry_Int_Tables_number 12
loop_
_symmetry_equiv_pos_as_xyz
'x,y,z'
'-x,-y,-z'
'-x,y,-z'
'x,-y,z'
'x+1/2,y+1/2,z'
'-x+1/2,-y+1/2,-z'
'-x+1/2,y+1/2,-z'
'x+1/2,-y+1/2,z'
loop_
_atom_site_label
_atom_site_type_symbol
_atom_site_fract_x
_atom_site_fract_y
_atom_site_fract_z
Ba1 Ba 0.000 0.000 0.000
Ba2 Ba 0.118 0.500 0.863
Ac1 Ac 0.000 0.500 0.500
Ac2 Ac 0.128 0.000 0.381
Ac3 Ac 0.243 0.000 0.735

---

# V2CdSb2 (PBE, optimized geometry)
# **Total magnetization**: 4.26 μB/f.u.
# **Energy above the lowest structure with this stoichiometry**: 0.76 eV/f.u.
data_V2CdSb2
_cell_length_a 8.088
_cell_length_b 8.088
_cell_length_c 3.139
_cell_angle_alpha 90.00
_cell_angle_beta 90.00
_cell_angle_gamma 90.00
_symmetry_space_group_name_H-M 'P 4/m b m'
_symmetry_Int_Tables_number 127
_symmetry_space_group_name_Hall '-P 4 2ab'
loop_
_atom_site_label
_atom_site_type_symbol
_atom_site_fract_x
_atom_site_fract_y
_atom_site_fract_z
V1 V 0.143 0.357 0.000
Cd1 Cd 0.000 0.000 0.500
Sb1 Sb 0.151 0.651 0.500

---

# BaTmCd11 (PBE, optimized geometry)
# **Energy of formation from the pure elements**: -2.0 eV/f.u.
# **Total magnetization**: 0.00 μB/f.u.
data_BaTmCd11
_cell_length_a 6.262
_cell_length_b 14.269
_cell_length_c 8.022
_cell_angle_alpha 90.00
_cell_angle_beta 112.52
_cell_angle_gamma 90.00
_symmetry_space_group_name_H-M 'C 1 2/m 1'
_symmetry_Int_Tables_number 12
loop_
_symmetry_equiv_pos_as_xyz
'x,y,z'
'-x,-y,-z'
'-x,y,-z'
'x,-y,z'
'x+1/2,y+1/2,z'
'-x+1/2,-y+1/2,-z'
'-x+1/2,y+1/2,-z'
'x+1/2,-y+1/2,z'
loop_
_atom_site_label
_atom_site_type_symbol
_atom_site_fract_x
_atom_site_fract_y
_atom_site_fract_z
Ba1 Ba 0.000 0.000 0.000
Tm1 Tm 0.000 0.500 0.500
Cd1 Cd 0.000 0.000 0.500
Cd2 Cd 0.108 0.389 0.215
Cd3 Cd 0.175 0.178 0.350
Cd4 Cd 0.250 0.250 0.000

---

# Tl2Cd12In5 (PBE, optimized geometry)
# **Energy of formation from the pure elements**: 1.1 eV/f.u.
# **Total magnetization**: 0.00 μB/f.u.
data_Tl2Cd12In5
_cell_length_a 10.7533
_cell_length_b 10.7533
_cell_length_c 14.8544
_cell_angle_alpha 90.00
_cell_angle_beta 90.00
_cell_angle_gamma 120.00
_symmetry_space_group_name_H-M 'R -3 m'
_symmetry_Int_Tables_number 166
_symmetry_space_group_name_Hall '-R 3 2"'
loop_
_atom_site_label
_atom_site_type_symbol
_atom_site_fract_x
_atom_site_fract_y
_atom_site_fract_z
Tl1 Tl 0.0000 0.0000 0.1534
Cd1 Cd 0.0000 0.3316 0.5000
Cd2 Cd 0.0123 0.5062 0.6653
In1 In 0.0000 0.0000 0.3986
In2 In 0.0000 0.5000 0.0000

---

# Ho4Al12Re (PBE, optimized geometry)
# **Energy of formation from the pure elements**: -7.0 eV/f.u.
# **Total magnetization**: 0.00 μB/f.u.
data_Ho4Al12Re
_cell_length_a 8.657
_cell_length_b 8.657
_cell_length_c 8.657
_cell_angle_alpha 90.00
_cell_angle_beta 90.00
_cell_angle_gamma 90.00
_symmetry_space_group_name_H-M 'I m -3 m'
_symmetry_Int_Tables_number 229
_symmetry_space_group_name_Hall '-I 4 2 3'
loop_
_atom_site_label
_atom_site_type_symbol
_atom_site_fract_x
_atom_site_fract_y
_atom_site_fract_z
Ho1 Ho 0.250 0.250 0.250
Al1 Al 0.000 0.000 0.290
Al2 Al 0.000 0.250 0.500
Re1 Re 0.000 0.000 0.000

---

# HfAl2N (PBE, optimized geometry)
# **Total magnetization**: 0.00 μB/f.u.
# **Raw total energy**: -6.519 eV/atom
data_HfAl2N
_cell_length_a 6.205
_cell_length_b 6.205
_cell_length_c 6.664
_cell_angle_alpha 90.00
_cell_angle_beta 90.00
_cell_angle_gamma 90.00
_symmetry_space_group_name_H-M 'I -4 2 d'
_symmetry_Int_Tables_number 122
_symmetry_space_group_name_Hall 'I -4 2bw'
loop_
_atom_site_label
_atom_site_type_symbol
_atom_site_fract_x
_atom_site_fract_y
_atom_site_fract_z
Hf1 Hf 0.000 0.000 0.000
Al1 Al 0.135 0.250 0.625
N1 N 0.000 0.000 0.500

---

# AlCdTeI2 (PBE, optimized geometry)
# **Total magnetization**: 0.00 μB/f.u.
# **Energy above the lowest structure with this stoichiometry**: 1.04 eV/f.u.
data_AlCdTeI2
_cell_length_a 5.912
_cell_length_b 5.912
_cell_length_c 5.659
_cell_angle_alpha 90.00
_cell_angle_beta 90.00
_cell_angle_gamma 90.00
_symmetry_space_group_name_H-M 'P 4/m m m'
_symmetry_Int_Tables_number 123
_symmetry_space_group_name_Hall '-P 4 2'
loop_
_atom_site_label
_atom_site_type_symbol
_atom_site_fract_x
_atom_site_fract_y
_atom_site_fract_z
Al1 Al 0.000 0.000 0.000
Cd1 Cd 0.500 0.500 0.500
Te1 Te 0.500 0.500 0.000
I1 I 0.000 0.500 0.500

---

# Ho4ScZn (PBE, optimized geometry)
# **Energy of formation from the pure elements**: 0.1 eV/f.u.
# **Total magnetization**: 0.00 μB/f.u.
# **Energy above the lowest structure with this stoichiometry**: 0.61 eV/f.u.
data_Ho4ScZn
_cell_length_a 8.601
_cell_length_b 13.734
_cell_length_c 5.927
_cell_angle_alpha 90.00
_cell_angle_beta 107.73
_cell_angle_gamma 90.00
_symmetry_space_group_name_H-M 'C 1 2/c 1'
_symmetry_Int_Tables_number 15
loop_
_symmetry_equiv_pos_as_xyz
'x,y,z'
'-x,-y,-z'
'-x,y,-z+1/2'
'x,-y,z+1/2'
'x+1/2,y+1/2,z'
'-x+1/2,-y+1/2,-z'
'-x+1/2,y+1/2,-z+1/2'
'x+1/2,-y+1/2,z+1/2'
loop_
_atom_site_label
_atom_site_type_symbol
_atom_site_fract_x
_atom_site_fract_y
_atom_site_fract_z
Ho1 Ho 0.104 0.187 0.059
Ho2 Ho 0.212 0.407 0.351
Sc1 Sc 0.000 0.389 0.750
Zn1 Zn 0.000 0.002 0.250

---

# RbPdF2 (PBE, optimized geometry)
# **Total magnetization**: 1.03 μB/f.u.
# **Energy above the lowest structure with this stoichiometry**: 1.61 eV/f.u.
data_RbPdF2
_cell_length_a 3.9610
_cell_length_b 3.9610
_cell_length_c 19.5528
_cell_angle_alpha 90.00
_cell_angle_beta 90.00
_cell_angle_gamma 120.00
_symmetry_space_group_name_H-M 'R -3 m'
_symmetry_Int_Tables_number 166
_symmetry_space_group_name_Hall '-R 3 2"'
loop_
_atom_site_label
_atom_site_type_symbol
_atom_site_fract_x
_atom_site_fract_y
_atom_site_fract_z
Rb1 Rb 0.0000 0.0000 0.0000
Pd1 Pd 0.0000 0.0000 0.5000
F1 F 0.0000 0.0000 0.1281

---

# LiSnSb2Te (PBE, optimized geometry)
# **Total magnetization**: 0.00 μB/f.u.
# **Energy above the lowest structure with this stoichiometry**: 0.00 eV/f.u.
data_LiSnSb2Te
_cell_length_a 4.946
_cell_length_b 4.946
_cell_length_c 5.585
_cell_angle_alpha 90.00
_cell_angle_beta 90.00
_cell_angle_gamma 90.00
_symmetry_space_group_name_H-M 'P 4/m m m'
_symmetry_Int_Tables_number 123
_symmetry_space_group_name_Hall '-P 4 2'
loop_
_atom_site_label
_atom_site_type_symbol
_atom_site_fract_x
_atom_site_fract_y
_atom_site_fract_z
Li1 Li 0.000 0.000 0.000
Sn1 Sn 0.500 0.500 0.500
Sb1 Sb 0.000 0.500 0.000
Te1 Te 0.000 0.000 0.500

---

# Tb3Pm6Ho2 (PBE, optimized geometry)
# **Energy of formation from the pure elements**: 3.2 eV/f.u.
# **Total magnetization**: 0.00 μB/f.u.
# **Energy above the lowest structure with this stoichiometry**: 3.04 eV/f.u.
data_Tb3Pm6Ho2
_cell_length_a 4.775
_cell_length_b 4.775
_cell_length_c 33.618
_cell_angle_alpha 90.00
_cell_angle_beta 90.00
_cell_angle_gamma 90.00
_symmetry_space_group_name_H-M 'I 4/m m m'
_symmetry_Int_Tables_number 139
_symmetry_space_group_name_Hall '-I 4 2'
loop_
_atom_site_label
_atom_site_type_symbol
_atom_site_fract_x
_atom_site_fract_y
_atom_site_fract_z
Tb1 Tb 0.000 0.000 0.000
Tb2 Tb 0.000 0.000 0.198
Pm1 Pm 0.000 0.000 0.300
Pm2 Pm 0.000 0.500 0.120
Ho1 Ho 0.000 0.000 0.455

---

# Sr2PrInTe5 (PBE, optimized geometry)
# **Total magnetization**: 0.00 μB/f.u.
# **Raw total energy**: -4.200 eV/atom
data_Sr2PrInTe5
_cell_length_a 4.526
_cell_length_b 20.329
_cell_length_c 13.968
_cell_angle_alpha 90.00
_cell_angle_beta 90.00
_cell_angle_gamma 90.00
_symmetry_space_group_name_H-M 'C m c 21'
_symmetry_Int_Tables_number 36
loop_
_symmetry_equiv_pos_as_xyz
'x,y,z'
'-x,-y,z+1/2'
'-x,y,z'
'x,-y,z+1/2'
'x+1/2,y+1/2,z'
'-x+1/2,-y+1/2,z+1/2'
'-x+1/2,y+1/2,z'
'x+1/2,-y+1/2,z+1/2'
loop_
_atom_site_label
_atom_site_type_symbol
_atom_site_fract_x
_atom_site_fract_y
_atom_site_fract_z
Sr1 Sr 0.000 0.117 0.000
Sr2 Sr 0.000 0.127 0.639
Pr1 Pr 0.000 0.209 0.340
In1 In 0.000 0.444 0.762
Te1 Te 0.000 0.047 0.384
Te2 Te 0.000 0.290 0.997
Te3 Te 0.000 0.313 0.676
Te4 Te 0.000 0.362 0.323
Te5 Te 0.000 0.496 0.085

---

# Ac2TbNdSm5 (PBE, optimized geometry)
# **Energy of formation from the pure elements**: 1.3 eV/f.u.
# **Total magnetization**: 0.00 μB/f.u.
data_Ac2TbNdSm5
_cell_length_a 5.850
_cell_length_b 20.491
_cell_length_c 10.984
_cell_angle_alpha 90.00
_cell_angle_beta 90.00
_cell_angle_gamma 90.00
_symmetry_space_group_name_H-M 'C m c 21'
_symmetry_Int_Tables_number 36
loop_
_symmetry_equiv_pos_as_xyz
'x,y,z'
'-x,-y,z+1/2'
'-x,y,z'
'x,-y,z+1/2'
'x+1/2,y+1/2,z'
'-x+1/2,-y+1/2,z+1/2'
'-x+1/2,y+1/2,z'
'x+1/2,-y+1/2,z+1/2'
loop_
_atom_site_label
_atom_site_type_symbol
_atom_site_fract_x
_atom_site_fract_y
_atom_site_fract_z
Ac1 Ac 0.000 0.113 0.000
Ac2 Ac 0.000 0.117 0.589
Tb1 Tb 0.000 0.206 0.279
Nd1 Nd 0.000 0.412 0.732
Sm1 Sm 0.000 0.019 0.293
Sm2 Sm 0.000 0.283 0.579
Sm3 Sm 0.000 0.296 0.973
Sm4 Sm 0.000 0.390 0.290
Sm5 Sm 0.000 0.481 0.009

---

# Gd2FeOs (PBE, optimized geometry)
# **Energy of formation from the pure elements**: 2.6 eV/f.u.
# **Total magnetization**: 12.15 μB/f.u.
data_Gd2FeOs
_cell_length_a 3.2213
_cell_length_b 3.2213
_cell_length_c 29.2311
_cell_angle_alpha 90.00
_cell_angle_beta 90.00
_cell_angle_gamma 120.00
_symmetry_space_group_name_H-M 'R -3 m'
_symmetry_Int_Tables_number 166
_symmetry_space_group_name_Hall '-R 3 2"'
loop_
_atom_site_label
_atom_site_type_symbol
_atom_site_fract_x
_atom_site_fract_y
_atom_site_fract_z
Gd1 Gd 0.0000 0.0000 0.0923
Fe1 Fe 0.0000 0.0000 0.0000
Os1 Os 0.0000 0.0000 0.5000

---

# ZnCr2Cu (PBE, optimized geometry)
# **Energy of formation from the pure elements**: 0.5 eV/f.u.
# **Total magnetization**: 0.00 μB/f.u.
data_ZnCr2Cu
_cell_length_a 2.931
_cell_length_b 4.028
_cell_length_c 8.317
_cell_angle_alpha 90.00
_cell_angle_beta 90.00
_cell_angle_gamma 90.00
_symmetry_space_group_name_H-M 'C m m 2'
_symmetry_Int_Tables_number 35
loop_
_symmetry_equiv_pos_as_xyz
'x,y,z'
'-x,-y,z'
'-x,y,z'
'x,-y,z'
'x+1/2,y+1/2,z'
'-x+1/2,-y+1/2,z'
'-x+1/2,y+1/2,z'
'x+1/2,-y+1/2,z'
loop_
_atom_site_label
_atom_site_type_symbol
_atom_site_fract_x
_atom_site_fract_y
_atom_site_fract_z
Zn1 Zn 0.000 0.000 0.000
Cr1 Cr 0.000 0.000 0.494
Cr2 Cr 0.000 0.500 0.262
Cu1 Cu 0.000 0.500 0.745